i) CdGa3Br | GGA-PBE | relaxed

Output
Mass density = 3.82 g cm⁻³
DOS at the Fermi energy = 0.55 states/eV per atom
Magnetization = 0.000 μB per atom

Geometry as POSCAR:
```
CdGa3Br
1.0
-4.464 -2.655 2.060
3.192 -2.282 3.978
-1.049 4.355 3.340
Ga Br Cd
3 1 1
Direct
0.000 0.500 0.000 Ga
0.000 0.000 0.500 Ga
0.500 0.000 0.000 Ga
0.000 0.000 0.000 Br
0.500 0.500 0.500 Cd
```

ii) CdGa3Br | GGA-PBE | relaxed

Output
Mass density = 4.49 g cm⁻³
DOS at the Fermi energy = 0.46 states/eV per atom
Magnetization = 0.000 μB per atom

Geometry as POSCAR:
```
CdGa3Br
1.0
5.296 0.000 0.000
0.000 5.296 0.000
0.000 0.000 5.296
Ga Br Cd
3 1 1
Direct
0.000 0.500 0.000 Ga
0.000 0.000 0.500 Ga
0.500 0.000 0.000 Ga
0.500 0.500 0.500 Br
0.000 0.000 0.000 Cd
```

Relative to the most stable structure, the computed energies are i) 216; ii) 0, all in meV/atom.